1.
A relaxed structure of Pr2Fe, computed with PBE.

abc: 8.054 8.054 8.054
angles: 60.00 60.00 60.00
Element x y z (fractional)
Pr 0.000 0.000 0.000
Pr 0.000 0.000 0.500
Pr 0.000 0.500 0.000
Pr 0.500 0.000 0.000
Fe 0.125 0.125 0.125
Fe 0.875 0.875 0.875

Calculated values
Energy of formation from the pure elements   1.104 eV per atom

=====

2.
A relaxed structure of SiHgB2, computed with PBE.

abc: 4.305 4.305 4.305
angles: 60.00 60.00 60.00
Element x y z (fractional)
Si 0.000 0.000 0.000
Hg 0.250 0.250 0.250
B 0.500 0.500 0.500
B 0.750 0.750 0.750

Calculated values
Energy   -2.901 eV/atom

=====

3.
A relaxed structure of DyP2Pd4, computed with PBE.

abc: 6.901 6.901 4.179
angles: 90.00 90.00 145.04
Element x y z (fractional)
Dy 0.000 0.000 0.000
P 0.416 0.584 0.500
P 0.584 0.416 0.500
Pd 0.173 0.827 0.500
Pd 0.330 0.670 0.000
Pd 0.670 0.330 0.000
Pd 0.827 0.173 0.500

Calculated values
Energy   -5.984 eV/atom